Below is a PBEsol-optimized structure of Cs2SnGe3O9, with properties calculated at the meta-GGA SCAN level.

Values from the calculation:
space-group type: P6_3/m (176)
raw formation energy: -1.918 eV/atom
E_tot: -0.621 hartree per atom

```
data_Cs2SnGe3O9
_chemical_formula_sum 'Cs4 Sn2 Ge6 O18'
_symmetry_space_group_name_H-M 'P 1'
_symmetry_Int_Tables_number 1
_cell_length_a 7.296
_cell_length_b 7.296
_cell_length_c 10.512
_cell_angle_alpha 90.00
_cell_angle_beta 90.00
_cell_angle_gamma 120.00
loop_
_symmetry_equiv_pos_as_xyz
'x,y,z'
loop_
_atom_site_label
_atom_site_type_symbol
_atom_site_fract_x
_atom_site_fract_y
_atom_site_fract_z
Cs1 Cs 0.333 0.667 0.058
Cs2 Cs 0.333 0.667 0.442
Cs3 Cs 0.667 0.333 0.558
Cs4 Cs 0.667 0.333 0.942
Sn1 Sn 0.000 0.000 0.000
Sn2 Sn 0.000 0.000 0.500
Ge1 Ge 0.139 0.765 0.750
Ge2 Ge 0.235 0.374 0.750
Ge3 Ge 0.374 0.139 0.250
Ge4 Ge 0.626 0.861 0.750
Ge5 Ge 0.765 0.626 0.250
Ge6 Ge 0.861 0.235 0.250
O1 O 0.026 0.779 0.608
O2 O 0.026 0.779 0.892
O3 O 0.073 0.491 0.750
O4 O 0.221 0.247 0.608
O5 O 0.221 0.247 0.892
O6 O 0.247 0.026 0.108
O7 O 0.247 0.026 0.392
O8 O 0.419 0.927 0.750
O9 O 0.491 0.419 0.250
O10 O 0.509 0.581 0.750
O11 O 0.581 0.073 0.250
O12 O 0.753 0.974 0.608
O13 O 0.753 0.974 0.892
O14 O 0.779 0.753 0.108
O15 O 0.779 0.753 0.392
O16 O 0.927 0.509 0.250
O17 O 0.974 0.221 0.108
O18 O 0.974 0.221 0.392
```